RbHRu2 | PBE-GGA | optimized geometry

Computed properties:
- Space group: I4_1/amd (141)
- E_tot: -4.798 eV/atom
- Mass density: 6.80 Mg/m³
- ΔE to the lowest computed polymorph: 0.000 kcal/mol of atoms

Unit cell a=5.839 b=5.839 c=5.844 alpha=60.03 beta=60.03 gamma=90.00
Last column: magnetic moment on the atom in μB.
Element x y z (fractional)
Ru1 0.375 0.625 0.750  1.37
Rb1 0.750 0.250 0.500  0.00
H1 0.500 0.500 0.000  -0.01
Rb2 0.000 0.000 0.000  0.00
Ru2 0.375 0.125 0.250  1.50
H2 0.250 0.750 0.500  -0.01
Ru3 0.875 0.625 0.750  1.27
Ru4 0.375 0.625 0.250  1.41

=====

Rb3H7Ru | PBE-GGA | optimized geometry

Computed properties:
- Space group: Fmm2 (42)
- E_tot: -3.484 eV/atom
- Mass density: 3.58 Mg/m³

Unit cell a=6.316 b=6.316 c=6.264 alpha=57.55 beta=57.55 gamma=86.27
Last column: magnetic moment on the atom in μB.
Element x y z (fractional)
H1 0.019 0.236 0.700  0.00
H2 0.768 0.768 0.418  0.00
Rb1 0.213 0.713 0.529  0.00
H3 0.099 0.726 0.129  0.00
Ru1 0.967 0.967 0.021  0.12
H4 0.726 0.099 0.129  0.00
H5 0.236 0.019 0.700  0.00
Rb2 0.452 0.452 0.050  0.00
Rb3 0.713 0.213 0.529  0.00
H6 0.154 0.154 0.023  0.00
H7 0.778 0.778 0.021  0.00

=====

Rb5H12Ru2 | PBE-GGA | optimized geometry

Computed properties:
- Space group: C2/m (12)
- E_tot: -3.448 eV/atom
- Mass density: 3.71 Mg/m³

Unit cell a=6.545 b=7.356 c=7.356 alpha=54.39 beta=94.15 gamma=94.15
Element x y z (fractional)
H1 0.185 0.646 0.180
H2 0.916 0.456 0.456
H3 0.815 0.820 0.354
Rb1 0.500 0.000 0.000
Ru1 0.000 0.748 0.252
Rb2 0.987 0.243 0.243
Rb3 0.509 0.369 0.369
H4 0.081 0.965 0.965
H5 0.184 0.874 0.330
H6 0.815 0.354 0.820
H7 0.919 0.035 0.035
H8 0.816 0.670 0.126
Rb4 0.491 0.631 0.631
H9 0.185 0.180 0.646
H10 0.084 0.544 0.544
Rb5 0.013 0.757 0.757
Ru2 0.000 0.252 0.748
H11 0.816 0.126 0.670
H12 0.184 0.330 0.874

=====

Number 1: total magnetization 2.9 μB per formula unit. Number 2: total magnetization 0.1 μB per formula unit. Number 3: total magnetization 0.0 μB per formula unit.